Entry 1:
Entry from the Alexandria database: a geometry-optimized Sm6Ho4Tm structure (PBE-GGA).

- ΔE_f (eV per atom) = 0.122

a = 5.623 Å, b = 5.623 Å, c = 25.641 Å
α = 90.00°, β = 90.00°, γ = 117.91°
Atoms (fractional coordinates):
1 Sm 0.000 0.000 0.000
2 Sm 0.000 0.000 0.500
3 Sm 0.047 0.953 0.750
4 Sm 0.299 0.701 0.103
5 Sm 0.299 0.701 0.397
6 Sm 0.375 0.625 0.682
7 Sm 0.375 0.625 0.818
8 Sm 0.625 0.375 0.182
9 Sm 0.625 0.375 0.318
10 Sm 0.701 0.299 0.603
11 Sm 0.701 0.299 0.897
12 Sm 0.953 0.047 0.250
13 Ho 0.042 0.958 0.623
14 Ho 0.042 0.958 0.877
15 Ho 0.350 0.650 0.544
16 Ho 0.350 0.650 0.956
17 Ho 0.650 0.350 0.044
18 Ho 0.650 0.350 0.456
19 Ho 0.958 0.042 0.123
20 Ho 0.958 0.042 0.377
21 Tm 0.290 0.710 0.250
22 Tm 0.710 0.290 0.750

---

Entry 2:
Entry from the Alexandria database: a geometry-optimized SrSmMgGa structure (PBE-GGA).

- ΔE_f (eV per atom) = -0.216

a = 5.459 Å, b = 5.459 Å, c = 5.459 Å
α = 60.00°, β = 60.00°, γ = 60.00°
Atoms (fractional coordinates):
1 Sr 0.000 0.000 0.000
2 Sm 0.500 0.500 0.500
3 Mg 0.750 0.750 0.750
4 Ga 0.250 0.250 0.250

---

Entry 3:
Entry from the Alexandria database: a geometry-optimized Pm7GaSn2 structure (PBE-GGA).

- ΔE_f (eV per atom) = -0.323

a = 5.333 Å, b = 5.333 Å, c = 12.869 Å
α = 90.00°, β = 90.00°, γ = 120.00°
Atoms (fractional coordinates):
1 Pm 0.000 0.000 0.000
2 Pm 0.000 0.000 0.255
3 Pm 0.000 0.000 0.739
4 Pm 0.333 0.667 0.401
5 Pm 0.333 0.667 0.894
6 Pm 0.667 0.333 0.131
7 Pm 0.667 0.333 0.579
8 Ga 0.333 0.667 0.148
9 Sn 0.000 0.000 0.498
10 Sn 0.667 0.333 0.846

---

Entry 4:
Entry from the Alexandria database: a geometry-optimized YErSc structure (PBE-GGA).

- ΔE_f (eV per atom) = 0.049

a = 7.638 Å, b = 7.638 Å, c = 7.638 Å
α = 153.75°, β = 153.75°, γ = 37.47°
Atoms (fractional coordinates):
1 Y 0.000 0.000 0.000
2 Er 0.323 0.323 0.000
3 Sc 0.663 0.663 0.000

---

Entry 5:
Entry from the Alexandria database: a geometry-optimized BeSn2HS structure (PBE-GGA).

a = 5.501 Å, b = 5.501 Å, c = 3.159 Å
α = 90.00°, β = 90.00°, γ = 90.00°
Atoms (fractional coordinates):
1 Be 0.000 0.000 0.000
2 Sn 0.000 0.500 0.500
3 Sn 0.500 0.000 0.500
4 H 0.500 0.500 0.000
5 S 0.500 0.500 0.500

---

Asked for calculated total energy across the records above, the calculation gives -4.524; -2.971; -4.752; -5.737; -3.456 eV/atom in order.